DFT (PBE-GGA) results for a geometry-optimized Rb4Cd3Pt2 structure.

Calculated values
total magnetization: 0.0 μB per formula unit
DFT total energy: -19.8 eV for the cell shown
volume: 37.366 Å³/atom
formation energy: -125 meV per atom

a = 9.349 Å, b = 9.349 Å, c = 8.607 Å
α = 106.50°, β = 106.50°, γ = 27.87°
Fractional coordinates of all 9 atoms:
Rb: 0.079 0.079 0.380
Rb: 0.273 0.273 0.824
Rb: 0.727 0.727 0.176
Rb: 0.921 0.921 0.620
Cd: 0.400 0.400 0.234
Cd: 0.500 0.500 0.000
Cd: 0.600 0.600 0.766
Pt: 0.075 0.075 0.937
Pt: 0.925 0.925 0.063



DFT (PBE-GGA) results for a geometry-optimized RbCd11Pt structure.

Calculated values
total magnetization: 0.0 μB per formula unit
DFT total energy: -18.1 eV for the cell shown
volume: 23.742 Å³/atom
formation energy: -75 meV per atom

a = 7.812 Å, b = 7.812 Å, c = 7.888 Å
α = 96.64°, β = 96.64°, γ = 137.44°
Fractional coordinates of all 13 atoms:
Rb: 0.000 0.000 0.000
Cd: 0.000 0.000 0.500
Cd: 0.000 0.500 0.000
Cd: 0.011 0.357 0.363
Cd: 0.293 0.509 0.773
Cd: 0.357 0.011 0.363
Cd: 0.491 0.707 0.227
Cd: 0.500 0.000 0.000
Cd: 0.509 0.293 0.773
Cd: 0.643 0.989 0.637
Cd: 0.707 0.491 0.227
Cd: 0.989 0.643 0.637
Pt: 0.500 0.500 0.500



DFT (PBE-GGA) results for a geometry-optimized Rb3Cd7Pt2 structure.

Calculated values
total magnetization: 0.0 μB per formula unit
DFT total energy: -23.6 eV for the cell shown
volume: 35.433 Å³/atom
formation energy: -184 meV per atom

a = 15.321 Å, b = 15.321 Å, c = 15.321 Å
α = 159.88°, β = 159.88°, γ = 28.60°
Fractional coordinates of all 12 atoms:
Rb: 0.000 0.000 0.000
Rb: 0.192 0.192 0.000
Rb: 0.808 0.808 0.000
Cd: 0.094 0.594 0.500
Cd: 0.320 0.320 0.000
Cd: 0.406 0.906 0.500
Cd: 0.500 0.500 0.000
Cd: 0.594 0.094 0.500
Cd: 0.680 0.680 0.000
Cd: 0.906 0.406 0.500
Pt: 0.410 0.410 0.000
Pt: 0.590 0.590 0.000



DFT (PBE-GGA) results for a geometry-optimized Rb3Cd3Pt2 structure.

Calculated values
total magnetization: 0.0 μB per formula unit
DFT total energy: -75.4 eV for the cell shown
volume: 32.493 Å³/atom
formation energy: -139 meV per atom

a = 9.320 Å, b = 16.456 Å, c = 6.779 Å
α = 90.00°, β = 90.00°, γ = 90.00°
Fractional coordinates of all 32 atoms:
Rb: 0.041 0.107 0.105
Rb: 0.041 0.393 0.105
Rb: 0.212 0.250 0.560
Rb: 0.288 0.750 0.060
Rb: 0.459 0.607 0.605
Rb: 0.459 0.893 0.605
Rb: 0.541 0.107 0.395
Rb: 0.541 0.393 0.395
Rb: 0.712 0.250 0.940
Rb: 0.788 0.750 0.440
Rb: 0.959 0.607 0.895
Rb: 0.959 0.893 0.895
Cd: 0.146 0.750 0.513
Cd: 0.158 0.038 0.618
Cd: 0.158 0.462 0.618
Cd: 0.342 0.538 0.118
Cd: 0.342 0.962 0.118
Cd: 0.354 0.250 0.013
Cd: 0.646 0.750 0.987
Cd: 0.658 0.038 0.882
Cd: 0.658 0.462 0.882
Cd: 0.842 0.538 0.382
Cd: 0.842 0.962 0.382
Cd: 0.854 0.250 0.487
Pt: 0.127 0.595 0.368
Pt: 0.127 0.905 0.368
Pt: 0.373 0.095 0.868
Pt: 0.373 0.405 0.868
Pt: 0.627 0.595 0.132
Pt: 0.627 0.905 0.132
Pt: 0.873 0.095 0.632
Pt: 0.873 0.405 0.632



DFT (PBE-GGA) results for a geometry-optimized Rb3Cd9Pt2 structure.

Calculated values
total magnetization: 0.0 μB per formula unit
DFT total energy: -25.2 eV for the cell shown
volume: 29.238 Å³/atom
formation energy: -141 meV per atom

a = 7.275 Å, b = 7.275 Å, c = 8.931 Å
α = 90.00°, β = 90.00°, γ = 120.00°
Fractional coordinates of all 14 atoms:
Rb: 0.000 0.000 0.000
Rb: 0.333 0.667 0.331
Rb: 0.667 0.333 0.669
Cd: 0.000 0.500 0.000
Cd: 0.149 0.298 0.645
Cd: 0.149 0.851 0.645
Cd: 0.298 0.149 0.355
Cd: 0.500 0.000 0.000
Cd: 0.500 0.500 0.000
Cd: 0.702 0.851 0.645
Cd: 0.851 0.149 0.355
Cd: 0.851 0.702 0.355
Pt: 0.333 0.667 0.809
Pt: 0.667 0.333 0.191



DFT (PBE-GGA) results for a geometry-optimized Rb2Cd5Pt2 structure.

Calculated values
total magnetization: 0.0 μB per formula unit
DFT total energy: -19.9 eV for the cell shown
volume: 34.459 Å³/atom
formation energy: -140 meV per atom

a = 5.308 Å, b = 5.308 Å, c = 11.009 Å
α = 90.00°, β = 90.00°, γ = 90.00°
Fractional coordinates of all 9 atoms:
Rb: 0.000 0.000 0.000
Rb: 0.000 0.000 0.500
Cd: 0.000 0.500 0.247
Cd: 0.000 0.500 0.753
Cd: 0.500 0.000 0.247
Cd: 0.500 0.000 0.753
Cd: 0.500 0.500 0.000
Pt: 0.500 0.500 0.240
Pt: 0.500 0.500 0.760



DFT (PBE-GGA) results for a geometry-optimized Rb2Cd3Pt structure.

Calculated values
total magnetization: 0.0 μB per formula unit
DFT total energy: -22.7 eV for the cell shown
volume: 34.637 Å³/atom
formation energy: -107 meV per atom

a = 8.384 Å, b = 8.384 Å, c = 5.970 Å
α = 90.00°, β = 90.00°, γ = 82.12°
Fractional coordinates of all 12 atoms:
Rb: 0.035 0.648 0.750
Rb: 0.352 0.965 0.750
Rb: 0.648 0.035 0.250
Rb: 0.965 0.352 0.250
Cd: 0.091 0.909 0.250
Cd: 0.378 0.378 0.000
Cd: 0.378 0.378 0.500
Cd: 0.622 0.622 0.000
Cd: 0.622 0.622 0.500
Cd: 0.909 0.091 0.750
Pt: 0.338 0.662 0.250
Pt: 0.662 0.338 0.750



DFT (PBE-GGA) results for a geometry-optimized RbCd2Pt2 structure.

Calculated values
total magnetization: 0.0 μB per formula unit
DFT total energy: -31.6 eV for the cell shown
ΔE to the lowest computed polymorph: 0.0 meV/atom
volume: 21.595 Å³/atom
formation energy: -184 meV per atom

a = 8.522 Å, b = 8.522 Å, c = 2.974 Å
α = 90.00°, β = 90.00°, γ = 90.00°
Fractional coordinates of all 10 atoms:
Rb: 0.000 0.000 0.000
Rb: 0.500 0.500 0.000
Cd: 0.136 0.364 0.500
Cd: 0.364 0.864 0.500
Cd: 0.636 0.136 0.500
Cd: 0.864 0.636 0.500
Pt: 0.157 0.657 0.000
Pt: 0.343 0.157 0.000
Pt: 0.657 0.843 0.000
Pt: 0.843 0.343 0.000



Repeat the fourth record exactly.
DFT (PBE-GGA) results for a geometry-optimized Rb3Cd3Pt2 structure.

Calculated values
total magnetization: 0.0 μB per formula unit
DFT total energy: -75.4 eV for the cell shown
volume: 32.493 Å³/atom
formation energy: -139 meV per atom

a = 9.320 Å, b = 16.456 Å, c = 6.779 Å
α = 90.00°, β = 90.00°, γ = 90.00°
Fractional coordinates of all 32 atoms:
Rb: 0.041 0.107 0.105
Rb: 0.041 0.393 0.105
Rb: 0.212 0.250 0.560
Rb: 0.288 0.750 0.060
Rb: 0.459 0.607 0.605
Rb: 0.459 0.893 0.605
Rb: 0.541 0.107 0.395
Rb: 0.541 0.393 0.395
Rb: 0.712 0.250 0.940
Rb: 0.788 0.750 0.440
Rb: 0.959 0.607 0.895
Rb: 0.959 0.893 0.895
Cd: 0.146 0.750 0.513
Cd: 0.158 0.038 0.618
Cd: 0.158 0.462 0.618
Cd: 0.342 0.538 0.118
Cd: 0.342 0.962 0.118
Cd: 0.354 0.250 0.013
Cd: 0.646 0.750 0.987
Cd: 0.658 0.038 0.882
Cd: 0.658 0.462 0.882
Cd: 0.842 0.538 0.382
Cd: 0.842 0.962 0.382
Cd: 0.854 0.250 0.487
Pt: 0.127 0.595 0.368
Pt: 0.127 0.905 0.368
Pt: 0.373 0.095 0.868
Pt: 0.373 0.405 0.868
Pt: 0.627 0.595 0.132
Pt: 0.627 0.905 0.132
Pt: 0.873 0.095 0.632
Pt: 0.873 0.405 0.632



The highest volume belongs to which entry?
Rb4Cd3Pt2



Look up the volume of the seventh one.
34.637 Å³/atom



Which value of DFT total energy does entry 4 give?
-75.4 eV for the cell shown